VASP calculation (PBE-GGA) on an optimized crystal structure of La3GaSi.

Computed properties:
The value obtained for the total magnetization is 0.0 μB/f.u. Its polymorph energy (0 for the lowest one) is 634 meV/atom. For the calculated volume, the calculation gives 179 Å³/cell. For the raw formation energy, the calculation gives 98 meV per atom.

```
data_La3GaSi
_chemical_formula_sum 'La3 Ga1 Si1'
_cell_length_a 5.6320
_cell_length_b 5.6320
_cell_length_c 5.6320
_cell_angle_alpha 90.00
_cell_angle_beta 90.00
_cell_angle_gamma 90.00
_symmetry_space_group_name_H-M 'P m -3 m'
_symmetry_Int_Tables_number 221
_symmetry_space_group_name_Hall '-P 4 2 3'
loop_
_atom_site_label
_atom_site_type_symbol
_atom_site_fract_x
_atom_site_fract_y
_atom_site_fract_z
La1 La 0.0000 0.0000 0.5000
Ga1 Ga 0.0000 0.0000 0.0000
Si1 Si 0.5000 0.5000 0.5000
```



VASP calculation (PBE-GGA) on an optimized crystal structure of LaGaSi.

Computed properties:
The value obtained for the total magnetization is 0.0 μB/f.u. For the calculated volume, the calculation gives 136 Å³/cell. For the raw formation energy, the calculation gives -716 meV per atom.

```
data_LaGaSi
_chemical_formula_sum 'La2 Ga2 Si2'
_cell_length_a 4.2896
_cell_length_b 4.3865
_cell_length_c 7.2114
_cell_angle_alpha 90.00
_cell_angle_beta 90.00
_cell_angle_gamma 90.00
_symmetry_space_group_name_H-M 'P m m a'
_symmetry_Int_Tables_number 51
loop_
_symmetry_equiv_pos_as_xyz
'x,y,z'
'-x,-y,-z'
'-x+1/2,-y,z'
'x+1/2,y,-z'
'x+1/2,-y,-z'
'-x+1/2,y,z'
'-x,y,-z'
'x,-y,z'
loop_
_atom_site_label
_atom_site_type_symbol
_atom_site_fract_x
_atom_site_fract_y
_atom_site_fract_z
La1 La 0.2500 0.0000 0.2396
Ga1 Ga 0.2500 0.5000 0.5846
Si1 Si 0.2500 0.5000 0.9234
```



VASP calculation (PBE-GGA) on an optimized crystal structure of La4GaSi.

Computed properties:
The value obtained for the total magnetization is 0.0 μB/f.u. For the calculated volume, the calculation gives 343 Å³/cell. For the raw formation energy, the calculation gives -431 meV per atom.

```
data_La4GaSi
_chemical_formula_sum 'La8 Ga2 Si2'
_cell_length_a 5.2742
_cell_length_b 6.9363
_cell_length_c 9.3803
_cell_angle_alpha 90.00
_cell_angle_beta 90.04
_cell_angle_gamma 90.00
_symmetry_space_group_name_H-M 'P 1 21/m 1'
_symmetry_Int_Tables_number 11
loop_
_symmetry_equiv_pos_as_xyz
'x,y,z'
'-x,-y,-z'
'-x,y+1/2,-z'
'x,-y+1/2,z'
loop_
_atom_site_label
_atom_site_type_symbol
_atom_site_fract_x
_atom_site_fract_y
_atom_site_fract_z
La1 La 0.2493 0.0121 0.2862
La2 La 0.2503 0.2500 0.5975
La3 La 0.2505 0.7500 0.9220
Ga1 Ga 0.2495 0.2500 0.9193
Si1 Si 0.2501 0.7500 0.5883
```



VASP calculation (PBE-GGA) on an optimized crystal structure of La2Ga2Si.

Computed properties:
The value obtained for the total magnetization is 0.0 μB/f.u. Its polymorph energy (0 for the lowest one) is 0 meV/atom. For the calculated volume, the calculation gives 498 Å³/cell. For the raw formation energy, the calculation gives -676 meV per atom.

```
data_La2Ga2Si
_chemical_formula_sum 'La8 Ga8 Si4'
_cell_length_a 11.4442
_cell_length_b 4.2220
_cell_length_c 11.2645
_cell_angle_alpha 90.00
_cell_angle_beta 113.81
_cell_angle_gamma 90.00
_symmetry_space_group_name_H-M 'C 1 2/m 1'
_symmetry_Int_Tables_number 12
loop_
_symmetry_equiv_pos_as_xyz
'x,y,z'
'-x,-y,-z'
'-x,y,-z'
'x,-y,z'
'x+1/2,y+1/2,z'
'-x+1/2,-y+1/2,-z'
'-x+1/2,y+1/2,-z'
'x+1/2,-y+1/2,z'
loop_
_atom_site_label
_atom_site_type_symbol
_atom_site_fract_x
_atom_site_fract_y
_atom_site_fract_z
La1 La 0.0968 0.0000 0.4014
La2 La 0.2053 0.5000 0.1371
Ga1 Ga 0.0236 0.0000 0.9028
Ga2 Ga 0.1391 0.5000 0.6293
Si1 Si 0.0681 0.5000 0.8137
```



VASP calculation (PBE-GGA) on an optimized crystal structure of LaGa3Si3.

Computed properties:
The value obtained for the total magnetization is 0.0 μB/f.u. For the calculated volume, the calculation gives 318 Å³/cell. For the raw formation energy, the calculation gives 18 meV per atom.

```
data_LaGa3Si3
_chemical_formula_sum 'La2 Ga6 Si6'
_cell_length_a 6.8248
_cell_length_b 6.8248
_cell_length_c 6.8248
_cell_angle_alpha 90.00
_cell_angle_beta 90.00
_cell_angle_gamma 90.00
_symmetry_space_group_name_H-M 'P m -3 n'
_symmetry_Int_Tables_number 223
_symmetry_space_group_name_Hall '-P 4n 2 3'
loop_
_atom_site_label
_atom_site_type_symbol
_atom_site_fract_x
_atom_site_fract_y
_atom_site_fract_z
La1 La 0.0000 0.0000 0.0000
Ga1 Ga 0.0000 0.2500 0.5000
Si1 Si 0.0000 0.5000 0.2500
```



VASP calculation (PBE-GGA) on an optimized crystal structure of LaGaSi3.

Computed properties:
The value obtained for the total magnetization is 0.0 μB/f.u. Its polymorph energy (0 for the lowest one) is 0 meV/atom. For the calculated volume, the calculation gives 113 Å³/cell. For the raw formation energy, the calculation gives 272 meV per atom.

```
data_LaGaSi3
_chemical_formula_sum 'La1 Ga1 Si3'
_cell_length_a 4.8295
_cell_length_b 4.8295
_cell_length_c 4.8295
_cell_angle_alpha 90.00
_cell_angle_beta 90.00
_cell_angle_gamma 90.00
_symmetry_space_group_name_H-M 'P m -3 m'
_symmetry_Int_Tables_number 221
_symmetry_space_group_name_Hall '-P 4 2 3'
loop_
_atom_site_label
_atom_site_type_symbol
_atom_site_fract_x
_atom_site_fract_y
_atom_site_fract_z
La1 La 0.0000 0.0000 0.0000
Ga1 Ga 0.5000 0.5000 0.5000
Si1 Si 0.0000 0.5000 0.5000
```



VASP calculation (PBE-GGA) on an optimized crystal structure of La2GaSi3.

Computed properties:
The value obtained for the total magnetization is 0.0 μB/f.u. Its polymorph energy (0 for the lowest one) is 0 meV/atom. For the calculated volume, the calculation gives 132 Å³/cell. For the raw formation energy, the calculation gives -673 meV per atom.

```
data_La2GaSi3
_chemical_formula_sum 'La2 Ga1 Si3'
_cell_length_a 4.1658
_cell_length_b 4.3820
_cell_length_c 7.2566
_cell_angle_alpha 90.00
_cell_angle_beta 90.00
_cell_angle_gamma 90.00
_symmetry_space_group_name_H-M 'P m m 2'
_symmetry_Int_Tables_number 25
loop_
_symmetry_equiv_pos_as_xyz
'x,y,z'
'-x,-y,z'
'-x,y,z'
'x,-y,z'
loop_
_atom_site_label
_atom_site_type_symbol
_atom_site_fract_x
_atom_site_fract_y
_atom_site_fract_z
La1 La 0.0000 0.0000 0.0000
La2 La 0.5000 0.0000 0.4867
Ga1 Ga 0.0000 0.5000 0.6600
Si1 Si 0.0000 0.5000 0.3238
Si2 Si 0.5000 0.5000 0.1626
Si3 Si 0.5000 0.5000 0.8339
```



VASP calculation (PBE-GGA) on an optimized crystal structure of La4Ga3Si.

Computed properties:
The value obtained for the total magnetization is 0.3 μB/f.u. For the calculated volume, the calculation gives 219 Å³/cell. For the raw formation energy, the calculation gives -642 meV per atom.

```
data_La4Ga3Si
_chemical_formula_sum 'La4 Ga3 Si1'
_cell_length_a 4.1661
_cell_length_b 4.5422
_cell_length_c 11.5918
_cell_angle_alpha 90.00
_cell_angle_beta 90.00
_cell_angle_gamma 90.00
_symmetry_space_group_name_H-M 'P m m 2'
_symmetry_Int_Tables_number 25
loop_
_symmetry_equiv_pos_as_xyz
'x,y,z'
'-x,-y,z'
'-x,y,z'
'x,-y,z'
loop_
_atom_site_label
_atom_site_type_symbol
_atom_site_fract_x
_atom_site_fract_y
_atom_site_fract_z
La1 La 0.0000 0.0000 0.0000
La2 La 0.0000 0.5000 0.4940
La3 La 0.5000 0.0000 0.7144
La4 La 0.5000 0.5000 0.2138
Ga1 Ga 0.0000 0.5000 0.7867
Ga2 Ga 0.5000 0.0000 0.4207
Ga3 Ga 0.5000 0.5000 0.9247
Si1 Si 0.0000 0.0000 0.2866
```